Entry 1:
The following is a PBE calculation of Si6C7 after structural relaxation, from Alexandria.

The calculation puts the size of the total moment at 1.185 μB/f.u. The value obtained for the uncorrected formation energy is 13.13 eV/f.u. For the density of states at the Fermi level, the calculation gives 20.193 states/eV per cell. Its energy is -6.46 eV/atom.

The space group is R-3m (No. 166, hexagonal axes) and the conventional cell measures 4.3286, 4.3286 and 37.0986 Å, with angles of 90.00, 90.00 and 120.00 degrees. The asymmetric unit holds Si at (0.0000, 0.0000, 0.0318), Si at (0.0000, 0.0000, 0.2245), Si at (0.0000, 0.0000, 0.2887), C at (0.0000, 0.0000, 0.5000) and C at (0.1073, 0.5537, 0.1294).

Entry 2:
The following is a PBE calculation of TbScAlRh after structural relaxation, from Alexandria.

The formation energy from the elements is -0.576 eV/atom. The calculation puts the size of the total moment at 0.000 μB/f.u. For the density of states at the Fermi level, the calculation gives 11.291 states/eV per cell. Its energy is -6.09 eV/atom.

The space group is F-43m (No. 216) and the conventional cell measures 6.872, 6.872 and 6.872 Å, with angles of 90.00, 90.00 and 90.00 degrees. The asymmetric unit holds Tb at (0.000, 0.000, 0.000), Sc at (0.000, 0.000, 0.500), Al at (0.250, 0.250, 0.250) and Rh at (0.250, 0.250, 0.750).

Entry 3:
The following is a PBE calculation of NdSeF after structural relaxation, from Alexandria.

The calculation puts the size of the total moment at 0.000 μB/f.u. The value obtained for the uncorrected formation energy is -8.64 eV/f.u. Its energy is -6.26 eV/atom.

The space group is P-6m2 (No. 187) and the conventional cell measures 4.1409, 4.1409 and 4.1312 Å, with angles of 90.00, 90.00 and 120.00 degrees. The asymmetric unit holds Nd at (0.0000, 0.0000, 0.0000), Se at (0.6667, 0.3333, 0.5000) and F at (0.3333, 0.6667, 0.0000).

Entry 4:
The following is a PBE calculation of Tb2Al2Fe15 after structural relaxation, from Alexandria.

The formation energy from the elements is -0.088 eV/atom. The calculation puts the size of the total moment at 27.908 μB/f.u. For the density of states at the Fermi level, the calculation gives 54.185 states/eV per cell. Its energy is -7.65 eV/atom.

The space group is R-3m (No. 166, hexagonal axes) and the conventional cell measures 8.3660, 8.3660 and 12.5420 Å, with angles of 90.00, 90.00 and 120.00 degrees. The asymmetric unit holds Tb at (0.0000, 0.0000, 0.1531), Al at (0.0000, 0.0000, 0.3983), Fe at (0.0000, 0.3000, 0.5000), Fe at (0.0000, 0.5000, 0.0000) and Fe at (0.9999, 0.5000, 0.3408).

Entry 5:
The following is a PBE calculation of DyInN after structural relaxation, from Alexandria.

The calculation puts the size of the total moment at 0.000 μB/f.u. The value obtained for the uncorrected formation energy is -2.78 eV/f.u. For the density of states at the Fermi level, the calculation gives 0.942 states/eV per cell. Its energy is -6.15 eV/atom.

The space group is Pmmn (No. 59, origin choice 2) and the conventional cell measures 3.959, 4.904 and 6.138 Å, with angles of 90.00, 90.00 and 90.00 degrees. The asymmetric unit holds Dy at (0.250, 0.250, 0.101), In at (0.250, 0.750, 0.457) and N at (0.250, 0.750, 0.088).